No. 1
First-principles (PBE-GGA) data for a relaxed structure of YBeCuSn, as listed in the Open Quantum Materials Database.

## Properties
ΔE to the lowest computed polymorph: 0.0 meV/atom
total DFT energy (no corrections): -4.579 eV per atom
total magnetization: 0.0 μB/f.u.

Unit cell a=6.5793 b=6.5793 c=6.5793 alpha=90.00 beta=90.00 gamma=90.00
Fractional coordinates of all 16 atoms:
Y: 0.0000 0.0000 0.0000
Y: 0.0000 0.5000 0.5000
Y: 0.5000 0.0000 0.5000
Y: 0.5000 0.5000 0.0000
Be: 0.2500 0.2500 0.2500
Be: 0.2500 0.7500 0.7500
Be: 0.7500 0.2500 0.7500
Be: 0.7500 0.7500 0.2500
Cu: 0.2500 0.2500 0.7500
Cu: 0.2500 0.7500 0.2500
Cu: 0.7500 0.2500 0.2500
Cu: 0.7500 0.7500 0.7500
Sn: 0.0000 0.0000 0.5000
Sn: 0.0000 0.5000 0.0000
Sn: 0.5000 0.0000 0.0000
Sn: 0.5000 0.5000 0.5000


No. 2
First-principles (PBE-GGA) data for a relaxed structure of ZrBeCuSn, as listed in the Open Quantum Materials Database.

## Properties
ΔE to the lowest computed polymorph: 121.2 meV/atom
total DFT energy (no corrections): -4.787 eV per atom
total magnetization: 0.0 μB/f.u.

Unit cell a=6.4807 b=6.4807 c=6.4807 alpha=90.00 beta=90.00 gamma=90.00
Fractional coordinates of all 16 atoms:
Zr: 0.0000 0.0000 0.0000
Zr: 0.0000 0.5000 0.5000
Zr: 0.5000 0.0000 0.5000
Zr: 0.5000 0.5000 0.0000
Be: 0.2500 0.2500 0.7500
Be: 0.2500 0.7500 0.2500
Be: 0.7500 0.2500 0.2500
Be: 0.7500 0.7500 0.7500
Cu: 0.0000 0.0000 0.5000
Cu: 0.0000 0.5000 0.0000
Cu: 0.5000 0.0000 0.0000
Cu: 0.5000 0.5000 0.5000
Sn: 0.2500 0.2500 0.2500
Sn: 0.2500 0.7500 0.7500
Sn: 0.7500 0.2500 0.7500
Sn: 0.7500 0.7500 0.2500


No. 3
First-principles (PBE-GGA) data for a relaxed structure of ZrBeCuSn, as listed in the Open Quantum Materials Database.

## Properties
ΔE to the lowest computed polymorph: 0.0 meV/atom
total DFT energy (no corrections): -4.908 eV per atom
total magnetization: 0.0 μB/f.u.

Unit cell a=6.3823 b=6.3823 c=6.3823 alpha=90.00 beta=90.00 gamma=90.00
Fractional coordinates of all 16 atoms:
Zr: 0.0000 0.0000 0.0000
Zr: 0.0000 0.5000 0.5000
Zr: 0.5000 0.0000 0.5000
Zr: 0.5000 0.5000 0.0000
Be: 0.2500 0.2500 0.2500
Be: 0.2500 0.7500 0.7500
Be: 0.7500 0.2500 0.7500
Be: 0.7500 0.7500 0.2500
Cu: 0.2500 0.2500 0.7500
Cu: 0.2500 0.7500 0.2500
Cu: 0.7500 0.2500 0.2500
Cu: 0.7500 0.7500 0.7500
Sn: 0.0000 0.0000 0.5000
Sn: 0.0000 0.5000 0.0000
Sn: 0.5000 0.0000 0.0000
Sn: 0.5000 0.5000 0.5000